(1)
VASP calculation (PBE) on a geometry-optimized AlTeP2 structure.

Lattice parameters (Å, degrees): 3.213 3.213 9.119 90.00 90.00 90.11
Element x y z (fractional)
Al 0.000 0.000 0.000
Te 0.000 0.000 0.500
P 0.500 0.500 0.124
P 0.500 0.500 0.876

Its magnetic moment is 0.0 Bohr magnetons per cell. As for the electronic total energy: -4.30 eV/atom.

---

(2)
VASP calculation (PBE) on a geometry-optimized AlTeP2 structure.

Lattice parameters (Å, degrees): 5.820 5.820 5.820 136.80 128.03 69.82
Element x y z (fractional)
Al 0.000 0.000 0.000
Te 0.500 0.500 0.000
P 0.124 0.624 0.500
P 0.876 0.376 0.500

Its magnetic moment is 0.0 Bohr magnetons per cell. As for the electronic total energy: -4.12 eV/atom.

---

(3)
VASP calculation (PBE) on a geometry-optimized AlTeP2 structure.

Lattice parameters (Å, degrees): 4.737 3.754 4.740 90.00 109.80 90.00
Element x y z (fractional)
Al 0.000 0.000 0.000
Te 0.730 0.500 0.273
P 0.238 0.500 0.764
P 0.447 0.000 0.555

Its magnetic moment is 0.0 Bohr magnetons per cell. As for the electronic total energy: -4.34 eV/atom.

---

(4)
VASP calculation (PBE) on a geometry-optimized AlTe2P structure.

Lattice parameters (Å, degrees): 3.501 3.501 7.212 90.00 90.00 90.00
Element x y z (fractional)
Al 0.000 0.000 0.000
Te 0.500 0.500 0.254
Te 0.500 0.500 0.746
P 0.000 0.000 0.500

Its magnetic moment is 0.0 Bohr magnetons per cell. As for the electronic total energy: -3.44 eV/atom.

---

(5)
VASP calculation (PBE) on a geometry-optimized AlTe2P structure.

Lattice parameters (Å, degrees): 5.781 5.781 2.970 90.25 90.25 89.90
Element x y z (fractional)
Al 0.000 0.000 0.000
Te 0.000 0.500 0.000
Te 0.500 0.000 0.000
P 0.500 0.500 0.000

Its magnetic moment is 0.0 Bohr magnetons per cell. As for the electronic total energy: -3.65 eV/atom.

---

(6)
VASP calculation (PBE) on a geometry-optimized AlTe2P structure.

Lattice parameters (Å, degrees): 3.858 3.859 7.970 90.00 90.00 90.00
Element x y z (fractional)
Al 0.000 0.000 0.000
Te 0.500 0.000 0.500
Te 0.500 0.500 0.000
P 0.000 0.500 0.500

Its magnetic moment is 0.0 Bohr magnetons per cell. As for the electronic total energy: -3.57 eV/atom.

---

(7)
VASP calculation (PBE) on a geometry-optimized AlTeP2 structure.

Lattice parameters (Å, degrees): 6.749 6.749 6.749 32.50 32.50 32.50
Element x y z (fractional)
Al 0.000 0.000 0.000
Te 0.758 0.758 0.758
P 0.257 0.257 0.257
P 0.526 0.526 0.526

Its magnetic moment is 0.0 Bohr magnetons per cell. As for the electronic total energy: -4.36 eV/atom.

---

(8)
VASP calculation (PBE) on a geometry-optimized AlTeP2 structure.

Lattice parameters (Å, degrees): 6.585 6.585 6.585 147.27 147.27 46.97
Element x y z (fractional)
Al 0.000 0.000 0.000
Te 0.750 0.250 0.500
P 0.250 0.750 0.500
P 0.500 0.500 0.000

Its magnetic moment is 0.0 Bohr magnetons per cell. As for the electronic total energy: -3.95 eV/atom.

---

(9)
VASP calculation (PBE) on a geometry-optimized AlTe2P structure.

Lattice parameters (Å, degrees): 8.835 8.835 8.835 25.85 25.85 25.85
Element x y z (fractional)
Al 0.000 0.000 0.000
Te 0.396 0.396 0.396
Te 0.604 0.604 0.604
P 0.500 0.500 0.500

Its magnetic moment is 0.0 Bohr magnetons per cell. As for the electronic total energy: -3.59 eV/atom.

---

(10)
VASP calculation (PBE) on a geometry-optimized AlTe2P structure.

Lattice parameters (Å, degrees): 8.181 8.181 3.980 103.77 103.77 24.63
Element x y z (fractional)
Al 0.000 0.000 0.000
Te 0.173 0.173 0.669
Te 0.419 0.419 0.420
P 0.623 0.623 0.119

Its magnetic moment is 0.0 Bohr magnetons per cell. As for the electronic total energy: -3.78 eV/atom.

---

(11)
VASP calculation (PBE) on a geometry-optimized AlTeP2 structure.

Lattice parameters (Å, degrees): 6.728 6.728 6.728 32.53 32.53 32.53
Element x y z (fractional)
Al 0.000 0.000 0.000
Te 0.500 0.500 0.500
P 0.262 0.262 0.262
P 0.738 0.738 0.738

Its magnetic moment is 0.0 Bohr magnetons per cell. As for the electronic total energy: -4.35 eV/atom.

---

(12)
VASP calculation (PBE) on a geometry-optimized AlTeP2 structure.

Lattice parameters (Å, degrees): 3.939 6.123 6.123 34.82 90.00 90.00
Element x y z (fractional)
Al 0.000 0.000 0.000
Te 0.000 0.250 0.250
P 0.500 0.511 0.511
P 0.500 0.698 0.698

Its magnetic moment is 0.0 Bohr magnetons per cell. As for the electronic total energy: -4.35 eV/atom.

---

(13)
VASP calculation (PBE) on a geometry-optimized AlTe4P structure.

Lattice parameters (Å, degrees): 6.257 6.257 6.257 60.00 60.00 60.00
Element x y z (fractional)
Al 0.000 0.000 0.000
Te 0.376 0.376 0.376
Te 0.376 0.376 0.871
Te 0.376 0.871 0.376
Te 0.871 0.376 0.376
P 0.750 0.750 0.750

Its magnetic moment is 0.0 Bohr magnetons per cell. As for the electronic total energy: -2.81 eV/atom.

---

(14)
VASP calculation (PBE) on a geometry-optimized AlTeP2 structure.

Lattice parameters (Å, degrees): 4.694 4.694 4.694 109.79 109.79 108.84
Element x y z (fractional)
Al 0.000 0.000 0.000
Te 0.500 0.500 0.000
P 0.000 0.500 0.500
P 0.500 0.000 0.500

Its magnetic moment is 0.0 Bohr magnetons per cell. As for the electronic total energy: -4.34 eV/atom.

---

(15)
VASP calculation (PBE) on a geometry-optimized AlTeP2 structure.

Lattice parameters (Å, degrees): 4.698 4.698 4.698 60.00 60.00 60.00
Element x y z (fractional)
Al 0.000 0.000 0.000
Te 0.250 0.250 0.250
P 0.500 0.500 0.500
P 0.750 0.750 0.750

Its magnetic moment is 0.0 Bohr magnetons per cell. As for the electronic total energy: -3.86 eV/atom.

---

(16)
VASP calculation (PBE) on a geometry-optimized AlTeP2 structure.

Lattice parameters (Å, degrees): 3.150 3.150 8.302 90.00 90.00 90.00
Element x y z (fractional)
Al 0.000 0.000 0.000
Te 0.500 0.500 0.697
P 0.000 0.000 0.315
P 0.500 0.500 0.210

Its magnetic moment is 0.0 Bohr magnetons per cell. As for the electronic total energy: -4.12 eV/atom.

---

(17)
VASP calculation (PBE) on a geometry-optimized AlTeP2 structure.

Lattice parameters (Å, degrees): 8.393 8.393 8.393 158.22 154.35 33.89
Element x y z (fractional)
Al 0.000 0.000 0.000
Te 0.374 0.874 0.500
P 0.574 0.574 0.000
P 0.667 0.167 0.500

Its magnetic moment is 0.0 Bohr magnetons per cell. As for the electronic total energy: -4.31 eV/atom.

---

(18)
VASP calculation (PBE) on a geometry-optimized AlTe2P structure.

Lattice parameters (Å, degrees): 5.033 5.033 5.033 60.00 60.00 60.00
Element x y z (fractional)
Al 0.000 0.000 0.000
Te 0.500 0.500 0.500
Te 0.750 0.750 0.750
P 0.250 0.250 0.250

Its magnetic moment is 0.0 Bohr magnetons per cell. As for the electronic total energy: -3.33 eV/atom.

---

(19)
VASP calculation (PBE) on a geometry-optimized AlTeP3 structure.

Lattice parameters (Å, degrees): 4.675 4.675 4.675 90.00 90.00 90.00
Element x y z (fractional)
Al 0.000 0.000 0.000
Te 0.500 0.500 0.500
P 0.000 0.000 0.500
P 0.000 0.500 0.000
P 0.500 0.000 0.000

Its magnetic moment is 0.0 Bohr magnetons per cell. As for the electronic total energy: -3.97 eV/atom.

---

(20)
VASP calculation (PBE) on a geometry-optimized AlTeP4 structure.

Lattice parameters (Å, degrees): 5.921 5.921 5.921 60.00 60.00 60.00
Element x y z (fractional)
Al 0.000 0.000 0.000
Te 0.250 0.250 0.250
P 0.033 0.656 0.656
P 0.656 0.033 0.656
P 0.656 0.656 0.033
P 0.656 0.656 0.656

Its magnetic moment is 0.0 Bohr magnetons per cell. As for the electronic total energy: -4.24 eV/atom.

---

For each record above, in turn, the calculated V values are 94.16, 104.29, 79.32, 88.38, 99.24, 118.66, 78.91, 83.20, 115.47, 107.67, 78.30, 84.31, 173.20, 79.62, 73.34, 82.39, 94.86, 90.14, 102.15, 146.75 Å³ per cell.
For each record above, in turn, the calculated formation energy (no corrections) values are 0.131, 0.308, 0.081, 0.422, 0.212, 0.284, 0.070, 0.474, 0.269, 0.080, 0.074, 0.079, 0.808, 0.089, 0.570, 0.302, 0.118, 0.530, 0.654, 0.513 eV/atom.
For each record above, in turn, the calculated D(E_F) values are 1.79, 1.20, 0.96, 2.15, 1.99, 0.62, 1.21, 2.07, 1.74, 1.61, 1.12, 1.19, 4.21, 1.36, 2.93, 2.71, 1.41, 4.90, 4.74, 3.20 states/eV/cell.